[1]
Computed, not measured: a relaxed structure of Hg2Bi2Pd7 at the GGA-PBE level of DFT.

Values from the calculation:
As for the space group: Cmmm, No. 65. The calculation puts the energy of formation at 0.07 eV/atom. Its density of states at the Fermi level is 5.00 states/eV/f.u. The calculation puts the spin magnetization at 0.0 μB per cell.

a = 5.756 Å, b = 7.247 Å, c = 5.756 Å
α = 90.00°, β = 96.18°, γ = 90.00°
Positions (direct):
Hg1 0.687 0.000 0.313
Hg2 0.313 0.000 0.687
Bi1 0.802 0.500 0.802
Bi2 0.198 0.500 0.198
Pd1 0.000 0.270 0.500
Pd2 0.500 0.730 0.000
Pd3 0.000 0.730 0.500
Pd4 0.500 0.270 0.000
Pd5 0.000 0.000 0.000
Pd6 0.500 0.695 0.500
Pd7 0.500 0.305 0.500

=====

[2]
Computed, not measured: a relaxed structure of ZrTl2Cl at the GGA-PBE level of DFT.

Values from the calculation:
The calculation puts the relative energy among the computed polymorphs at 293 meV per atom. As for the space group: Immm, No. 71. Its density of states at the Fermi level is 2.78 states/eV/f.u. The calculation puts the uncorrected formation energy at -0.250 eV per atom. The calculation puts the spin magnetization at 0.0 μB per cell.

a = 8.047 Å, b = 8.047 Å, c = 8.047 Å
α = 157.35°, β = 148.16°, γ = 39.43°
Positions (direct):
Cl1 0.250 0.750 0.500
Tl1 0.936 0.936 0.000
Tl2 0.564 0.564 0.000
Zr1 0.750 0.250 0.500

=====

[3]
Computed, not measured: a relaxed structure of KInMo2 at the GGA-PBE level of DFT.

Values from the calculation:
As for the space group: I4/mmm, No. 139. The calculation puts the energy of formation at 1.40 eV/atom. Its density of states at the Fermi level is 5.01 states/eV/f.u. The calculation puts the spin magnetization at 0.0 μB per cell.

a = 5.756 Å, b = 5.756 Å, c = 5.756 Å
α = 138.49°, β = 138.49°, γ = 60.15°
Positions (direct):
In1 0.250 0.750 0.500
K1 0.750 0.250 0.500
Mo1 0.000 0.000 0.000
Mo2 0.500 0.500 0.000

=====

[4]
Computed, not measured: a relaxed structure of VMoOs at the GGA-PBE level of DFT.

Values from the calculation:
The calculation puts the relative energy among the computed polymorphs at 893 meV per atom. As for the space group: I4mm, No. 107. The calculation puts the energy of formation at 0.82 eV/atom. Its density of states at the Fermi level is 3.52 states/eV/f.u. The calculation puts the spin magnetization at 0.0 μB per cell.

a = 2.754 Å, b = 2.754 Å, c = 6.870 Å
α = 101.56°, β = 101.56°, γ = 90.00°
Positions (direct):
Mo1 0.133 0.133 0.266
Os1 0.769 0.769 0.539
V1 0.947 0.947 0.895